# 1
# FeAgPbN2 (PBE, relaxed)
data_FeAgPbN2
_chemical_formula_sum 'Fe1 Ag1 Pb1 N2'
_space_group_name_H-M_alt 'P 4/m m m'
_space_group_IT_number 123
_space_group_name_Hall '-P 4 2'
_cell_length_a 4.048
_cell_length_b 4.048
_cell_length_c 4.934
_cell_angle_alpha 90.00
_cell_angle_beta 90.00
_cell_angle_gamma 90.00
loop_
_atom_site_label
_atom_site_fract_x
_atom_site_fract_y
_atom_site_fract_z
Fe1 0.000 0.000 0.000
Ag1 0.000 0.000 0.500
Pb1 0.500 0.500 0.000
N1 0.000 0.500 0.500
# * Fermi-level density of states: 5.77 states/eV/f.u.
# * formation energy (no corrections): 1889 meV per atom
# * uncorrected energy: -22.23 eV per cell
# * crystal system: tetragonal
# * V: 80.8 Å³/f.u.


# 2
# FeAg2PtN (PBE, relaxed)
data_FeAg2PtN
_chemical_formula_sum 'Fe1 Ag2 Pt1 N1'
_space_group_name_H-M_alt 'P 4/m m m'
_space_group_IT_number 123
_space_group_name_Hall '-P 4 2'
_cell_length_a 4.429
_cell_length_b 4.429
_cell_length_c 3.704
_cell_angle_alpha 90.00
_cell_angle_beta 90.00
_cell_angle_gamma 90.00
loop_
_atom_site_label
_atom_site_fract_x
_atom_site_fract_y
_atom_site_fract_z
Fe1 0.000 0.000 0.000
Ag1 0.000 0.500 0.500
Pt1 0.500 0.500 0.000
N1 0.000 0.000 0.500
# * Fermi-level density of states: 2.96 states/eV/f.u.
# * formation energy (no corrections): 446 meV per atom
# * uncorrected energy: -26.30 eV per cell
# * crystal system: tetragonal
# * V: 72.7 Å³/f.u.


# 3
# FeAgRh2N (PBE, relaxed)
data_FeAgRh2N
_chemical_formula_sum 'Fe1 Ag1 Rh2 N1'
_space_group_name_H-M_alt 'P 4/m m m'
_space_group_IT_number 123
_space_group_name_Hall '-P 4 2'
_cell_length_a 4.111
_cell_length_b 4.111
_cell_length_c 3.902
_cell_angle_alpha 90.00
_cell_angle_beta 90.00
_cell_angle_gamma 90.00
loop_
_atom_site_label
_atom_site_fract_x
_atom_site_fract_y
_atom_site_fract_z
Fe1 0.000 0.000 0.000
Ag1 0.500 0.500 0.000
Rh1 0.000 0.500 0.500
N1 0.000 0.000 0.500
# * Fermi-level density of states: 5.01 states/eV/f.u.
# * formation energy (no corrections): 151 meV per atom
# * uncorrected energy: -33.59 eV per cell
# * crystal system: tetragonal
# * V: 65.9 Å³/f.u.


no.,total magnetization (μB/cell)
1,4.829
2,2.747
3,3.100